A plane-wave DFT calculation with GGA-PBE was carried out for an optimized crystal structure of YTm2In.

Results
Energy of formation from the pure elements = -0.0879 eV per atom
Electronic total energy = -74.0 eV per cell
Volume = 448 Å³/cell

Cell lengths 7.6509, 7.6509, 7.6509 Å; angles 90.00, 90.00, 90.00 degrees
Space group Fm-3m (No. 225)
Inequivalent atoms, fractional coordinates:
Y 0.0000 0.0000 0.0000 (multiplicity 4)
Tm 0.2500 0.2500 0.2500 (multiplicity 8)
In 0.0000 0.0000 0.5000 (multiplicity 4)



A plane-wave DFT calculation with GGA-PBE was carried out for an optimized crystal structure of Tb2Sm5DyHo.

Results
Energy of formation from the pure elements = 0.1462 eV per atom
Electronic total energy = -162.9 eV per cell
Volume = 1210 Å³/cell

Cell lengths 5.6385, 20.1705, 10.6403 Å; angles 90.00, 90.00, 90.00 degrees
Space group Cmc2_1 (No. 36)
Inequivalent atoms, fractional coordinates:
Tb 0.0000 0.1118 0.0000 (multiplicity 4)
Tb 0.0000 0.1151 0.5784 (multiplicity 4)
Sm 0.0000 0.0169 0.2831 (multiplicity 4)
Sm 0.0000 0.2804 0.5745 (multiplicity 4)
Sm 0.0000 0.2984 0.9699 (multiplicity 4)
Sm 0.0000 0.3869 0.2855 (multiplicity 4)
Sm 0.0000 0.4809 0.0050 (multiplicity 4)
Dy 0.0000 0.4102 0.7224 (multiplicity 4)
Ho 0.0000 0.1993 0.2739 (multiplicity 4)



A plane-wave DFT calculation with GGA-PBE was carried out for an optimized crystal structure of Mn2BeAs.

Results
Energy of formation from the pure elements = -0.0271 eV per atom
Electronic total energy = -53.6 eV per cell
Volume = 92 Å³/cell

Cell lengths 3.6359, 3.6498, 6.9691 Å; angles 90.00, 90.00, 90.00 degrees
Space group Immm (No. 71)
Inequivalent atoms, fractional coordinates:
Mn 0.0000 0.0000 0.2504 (multiplicity 4)
Be 0.0000 0.5000 0.0000 (multiplicity 2)
As 0.0000 0.5000 0.5000 (multiplicity 2)



A plane-wave DFT calculation with GGA-PBE was carried out for an optimized crystal structure of LaDy3Al8.

Results
Energy of formation from the pure elements = -0.5015 eV per atom
Electronic total energy = -164.1 eV per cell
Volume = 750 Å³/cell

Cell lengths 5.5995, 5.5995, 27.6268 Å; angles 90.00, 90.00, 120.00 degrees
Space group R3m (No. 160, hexagonal axes)
Inequivalent atoms, fractional coordinates:
La 0.0000 0.0000 0.0000 (multiplicity 3)
Dy 0.0000 0.0000 0.1250 (multiplicity 3)
Dy 0.0000 0.0000 0.5006 (multiplicity 3)
Dy 0.0000 0.0000 0.6248 (multiplicity 3)
Al 0.0000 0.0000 0.3121 (multiplicity 3)
Al 0.0000 0.0000 0.8131 (multiplicity 3)
Al 0.0009 0.5005 0.0644 (multiplicity 9)
Al 0.1672 0.3344 0.8945 (multiplicity 9)